(one)
The following is a DFT calculation (PBE) of crystalline Be2Cu2Ni at its relaxed geometry.

Magnetization, μB per cell: 0.0
Space-group type: No. 127

Cell and atoms, written as extended XYZ:
```
10
Lattice="-3.5763 -4.2321 -3.2690 4.5314 -4.4866 0.8511 -1.0957 -0.7059 2.1125" Properties=species:S:1:pos:R:3 pbc="T T T"
Ni 0.0000 0.0000 0.0000
Ni 0.4775 -4.3594 -1.2089
Be 0.8440 -6.9132 -0.4139
Be 1.8770 -4.0495 1.0788
Be -2.0177 -5.3751 -1.3842
Be -0.9846 -2.5114 0.1085
Cu 2.6160 -5.4414 -0.4613
Cu -0.2308 -6.5093 -2.2947
Cu -1.6610 -3.2773 -1.9565
Cu 1.1858 -2.2094 -0.1232
```

=====

(two)
The following is a DFT calculation (PBE) of crystalline Be2Cu2Ni at its relaxed geometry.

Magnetization, μB per cell: 0.0
Space-group type: No. 65

Cell and atoms, written as extended XYZ:
```
5
Lattice="2.5829 0.0000 0.0000 0.0000 2.6044 0.4935 0.0000 -0.0850 7.5683" Properties=species:S:1:pos:R:3 pbc="T T T"
Be 1.2914 1.4491 6.5913
Be 1.2914 1.0703 1.4706
Cu 0.0000 2.1070 3.1190
Cu 0.0000 0.4124 4.9428
Ni 0.0000 0.0000 0.0000
```

=====

(three)
The following is a DFT calculation (PBE) of crystalline Be2Cu2Ni at its relaxed geometry.

Magnetization, μB per cell: 0.0
Space-group type: No. 127

Cell and atoms, written as extended XYZ:
```
10
Lattice="6.1935 0.0000 0.0000 0.0000 6.1935 0.0000 0.0000 0.0000 2.6053" Properties=species:S:1:pos:R:3 pbc="T T T"
Ni 0.0000 0.0000 0.0000
Ni 3.0967 3.0967 0.0000
Be 0.8329 2.2639 0.0000
Be 3.9296 0.8329 0.0000
Be 2.2639 5.3606 0.0000
Be 5.3606 3.9296 0.0000
Cu 1.0001 4.0968 1.3026
Cu 4.0968 5.1934 1.3026
Cu 2.0967 1.0001 1.3026
Cu 5.1934 2.0967 1.3026
```

=====

Tell me which of them is the most stable. Sure, it is (two).

=====

(one)
The following is a DFT calculation (PBE) of crystalline Be3CuNi2 at its relaxed geometry.

Magnetization, μB per cell: 0.0
Space-group type: No. 65

Cell and atoms, written as extended XYZ:
```
6
Lattice="-1.6928 -1.2197 -1.5436 1.7281 1.4278 -3.0233 2.5475 -5.2223 1.3326" Properties=species:S:1:pos:R:3 pbc="T T T"
Cu 0.0000 0.0000 0.0000
Be 0.3407 -2.1786 -0.8341
Be 0.0177 0.1041 -2.2834
Be 2.2422 -2.8356 -2.4002
Ni 2.2964 -3.0347 -0.1205
Ni 1.9793 -0.7599 -1.5701
```

=====

(two)
The following is a DFT calculation (PBE) of crystalline Be3CuNi2 at its relaxed geometry.

Magnetization, μB per cell: 0.0
Space-group type: No. 123

Cell and atoms, written as extended XYZ:
```
6
Lattice="-1.7778 -0.8298 1.7064 -1.2046 -1.3133 -1.8936 4.6080 -6.5537 1.6139" Properties=species:S:1:pos:R:3 pbc="T T T"
Ni 2.3681 -6.5604 1.2581
Ni -0.7425 -2.1363 0.1687
Cu 0.8128 -4.3484 0.7134
Be 1.4801 -2.1051 0.5184
Be 3.1279 -4.4486 1.0955
Be 0.0000 0.0000 0.0000
```

=====

Tell me which of them is the most stable. Sure, it is (two).

=====

(one)
The following is a DFT calculation (PBE) of crystalline BeCuNi4 at its relaxed geometry.

Magnetization, μB per cell: 0.0
Space-group type: No. 123

Cell and atoms, written as extended XYZ:
```
6
Lattice="-1.4552 1.5456 1.3264 -1.3922 -1.9447 0.7386 5.8705 -1.2176 7.8592" Properties=species:S:1:pos:R:3 pbc="T T T"
Ni 0.9054 -1.1775 7.0889
Ni 3.3714 -1.1941 7.4518
Ni 2.1176 -0.4393 2.8353
Ni -0.3484 -0.4227 2.4724
Cu 0.0000 0.0000 0.0000
Be 1.5115 -0.8084 4.9621
```

=====

(two)
The following is a DFT calculation (PBE) of crystalline BeCuNi4 at its relaxed geometry.

Magnetization, μB per cell: 0.7
Space-group type: No. 216

Cell and atoms, written as extended XYZ:
```
6
Lattice="0.0000 3.2496 3.2496 3.2496 0.0000 3.2496 3.2496 3.2496 0.0000" Properties=species:S:1:pos:R:3 pbc="T T T"
Ni 4.0610 2.4382 4.0610
Ni 2.4382 2.4382 2.4382
Ni 4.0610 4.0610 2.4382
Ni 2.4382 4.0610 4.0610
Cu 0.0000 0.0000 0.0000
Be 4.8744 4.8744 4.8744
```

=====

Tell me which of them is the most stable. Sure, it is (one).

=====

(one)
The following is a DFT calculation (PBE) of crystalline BeCuNiPd at its relaxed geometry.

Magnetization, μB per cell: 0.0
Space-group type: No. 216

Cell and atoms, written as extended XYZ:
```
4
Lattice="4.0270 0.0000 0.0000 2.0135 3.4875 0.0000 2.0135 1.1625 3.2881" Properties=species:S:1:pos:R:3 pbc="T T T"
Cu 2.0135 1.1625 0.8220
Be 6.0405 3.4875 2.4660
Pd 0.0000 0.0000 0.0000
Ni 4.0270 2.3250 1.6440
```

=====

(two)
The following is a DFT calculation (PBE) of crystalline BeCuNiPd at its relaxed geometry.

Magnetization, μB per cell: 0.0
Space-group type: No. 99

Cell and atoms, written as extended XYZ:
```
4
Lattice="2.7387 0.0000 0.0000 0.0000 2.7387 0.0000 0.0000 0.0000 6.0617" Properties=species:S:1:pos:R:3 pbc="T T T"
Cu 0.0000 0.0000 0.5635
Be 0.0000 0.0000 3.3412
Pd 1.3694 1.3694 4.7866
Ni 1.3694 1.3694 2.1270
```

=====

Tell me which of them is the most stable. Sure, it is (two).

=====

(one)
The following is a DFT calculation (PBE) of crystalline BeCu3Os at its relaxed geometry.

Magnetization, μB per cell: 0.0
Space-group type: No. 221

Cell and atoms, written as extended XYZ:
```
5
Lattice="-3.4542 2.7556 1.3618 1.2477 -0.6151 4.4096 2.8091 3.6617 -0.2841" Properties=species:S:1:pos:R:3 pbc="T T T"
Be 0.3013 2.9011 2.7436
Os 0.0000 0.0000 0.0000
Cu -1.7271 1.3778 0.6809
Cu 0.6239 -0.3075 2.2048
Cu 1.4045 1.8308 -0.1420
```

=====

(two)
The following is a DFT calculation (PBE) of crystalline BeCu3Os at its relaxed geometry.

Magnetization, μB per cell: 0.8
Space-group type: No. 221

Cell and atoms, written as extended XYZ:
```
5
Lattice="-0.2581 3.3891 -1.9922 -1.3401 -1.9527 -3.1484 -3.6958 0.4713 1.2807" Properties=species:S:1:pos:R:3 pbc="T T T"
Cu -1.8479 0.2357 0.6404
Cu -0.1291 1.6946 -0.9961
Cu -0.6700 -0.9764 -1.5742
Be 0.0000 0.0000 0.0000
Os -2.6470 0.9539 -1.9299
```

=====

Tell me which of them is the most stable. Sure, it is (two).

=====

(one)
The following is a DFT calculation (PBE) of crystalline BeCuP3 at its relaxed geometry.

Magnetization, μB per cell: 0.0
Space-group type: No. 221

Cell and atoms, written as extended XYZ:
```
5
Lattice="4.2159 0.0000 0.0000 0.0000 4.2159 0.0000 0.0000 0.0000 4.2159" Properties=species:S:1:pos:R:3 pbc="T T T"
Cu 2.1079 2.1079 2.1079
P 0.0000 2.1079 0.0000
P 0.0000 0.0000 2.1079
P 2.1079 0.0000 0.0000
Be 0.0000 0.0000 0.0000
```

=====

(two)
The following is a DFT calculation (PBE) of crystalline BeCuP3 at its relaxed geometry.

Magnetization, μB per cell: 0.0
Space-group type: No. 221

Cell and atoms, written as extended XYZ:
```
5
Lattice="-3.1820 0.0044 3.1197 -2.7162 -2.1959 -2.7674 1.5346 -3.8776 1.5707" Properties=species:S:1:pos:R:3 pbc="T T T"
P -1.3581 -1.0979 -1.3837
P 0.7673 -1.9388 0.7853
P -1.5910 0.0022 1.5599
Cu 0.0000 0.0000 0.0000
Be -2.1818 -3.0346 0.9615
```

=====

Tell me which of them is the most stable. Sure, it is (one).